Here is crystalline NaCaFe2Si4O12 at its relaxed geometry from Alexandria. Energies are from PBE+U.

Output
Space-group type: No. 1
Raw total energy, eV/atom: -7.21

Cell and atoms, written as CIF:
```
data_NaCaFe2Si4O12
_cell_length_a 5.3285
_cell_length_b 6.6689
_cell_length_c 6.6898
_cell_angle_alpha 84.68
_cell_angle_beta 77.73
_cell_angle_gamma 77.80
_symmetry_space_group_name_H-M 'P 1'
_symmetry_Int_Tables_number 1
_symmetry_space_group_name_Hall 'P 1'
loop_
_atom_site_label
_atom_site_type_symbol
_atom_site_fract_x
_atom_site_fract_y
_atom_site_fract_z
Na1 Na 0.0000 0.0000 0.0000
Ca1 Ca 0.5000 0.5992 0.4015
Fe1 Fe 0.0002 0.3851 0.6164
Fe2 Fe 0.5012 0.1950 0.8073
Si1 Si 0.0188 0.4916 0.0852
Si2 Si 0.4826 0.0990 0.3258
Si3 Si 0.5164 0.6757 0.9017
Si4 Si 0.9794 0.9155 0.5091
O1 O 0.0648 0.6785 0.5918
O2 O 0.1035 0.3321 0.9009
O3 O 0.2529 0.6251 0.0731
O4 O 0.2555 0.9536 0.3462
O5 O 0.3828 0.2710 0.5016
O6 O 0.4365 0.9023 0.8083
O7 O 0.5643 0.1923 0.1002
O8 O 0.6155 0.4982 0.7308
O9 O 0.7426 0.6546 0.0472
O10 O 0.7447 0.9262 0.3773
O11 O 0.8948 0.1003 0.6680
O12 O 0.9343 0.4100 0.3222
```